# ScMoIO2

An optimized crystal structure of ScMoIO2 (PBE+U, Alexandria).

Structure (POSCAR):
```
ScMoIO2
1.0
4.1343 0.0000 0.0000
0.0000 4.1343 0.0000
0.0000 0.0000 6.0618
Sc Mo I O
1 1 1 2
direct
0.0000 0.0000 0.0000 Sc
0.5000 0.5000 0.5000 Mo
0.0000 0.0000 0.5000 I
0.0000 0.5000 0.0000 O
0.5000 0.0000 0.0000 O
```

## Properties
Total magnetization   4.5 μB per formula unit
Offset from the most stable computed form   0 meV per atom
Energy   -0.2194 Ha/atom
Space group   P4/mmm (123)